Here is a geometry-optimized KGaHg structure from Alexandria via LeMat-Bulk. Energies are from PBE.

magnetic moment	0.0	μB per cell
polymorph energy (0 for the lowest one)	0.043	eV per formula unit
Fermi-level density of states	14.27	states/eV/cell

Lattice parameters (Å, degrees): 9.819 13.503 7.965 90.00 90.00 90.00
Space group Ima2 (No. 46)
One atom of each set of equivalent atoms:
K 0.250 0.000 0.000 (multiplicity 4)
K 0.250 0.215 0.633 (multiplicity 4)
K 0.250 0.716 0.135 (multiplicity 4)
Ga 0.000 0.000 0.648 (multiplicity 4)
Ga 0.000 0.109 0.310 (multiplicity 8)
Hg 0.000 0.169 0.914 (multiplicity 8)
Hg 0.250 0.501 0.926 (multiplicity 4)